Material: SrScAu2
Method: DFT, meta-GGA SCAN
State: single point on PBEsol structure

Cell and atoms, written as extended XYZ:
```
4
Lattice="3.478 0.000 0.000 0.000 3.478 0.000 0.000 0.000 7.363" Properties=species:S:1:pos:R:3 pbc="T T T"
Sr 0.000 0.000 0.000
Sc 0.000 0.000 3.681
Au 1.739 1.739 2.208
Au 1.739 1.739 5.155
```

Computed properties:
E_form (eV per atom): -0.942
Distance to the lowest polymorph of the same formula (eV/atom): 0.000
Fermi-level density of states (states/eV per atom): 0.69